No. 1
Density functional theory data (PBE-GGA) for a relaxed DyTmZn10 crystal.

The value obtained for the energy relative to the elements is -0.2653 eV per atom. For the spin magnetization, the calculation gives 0.0 μB/cell. For the total DFT energy (no corrections), the calculation gives -2.08 eV per atom. The calculation puts the mass density at 8037 kg/m³.

It has space group Pmmm (No. 47), with a = 4.207 Å, b = 5.301 Å, c = 9.130 Å, α = 90.00°, β = 90.00° and γ = 90.00°. The asymmetric unit holds Dy at (0.000, 0.000, 0.000), Tm at (0.000, 0.500, 0.500), Zn at (0.000, 0.000, 0.336), Zn at (0.000, 0.500, 0.168), Zn at (0.500, 0.000, 0.500), Zn at (0.500, 0.250, 0.251) and Zn at (0.500, 0.500, 0.000).

No. 2
Density functional theory data (PBE-GGA) for a relaxed BaAs2CBr crystal.

For the spin magnetization, the calculation gives 7.1 μB/cell. For the total DFT energy (no corrections), the calculation gives -2.66 eV per atom. The formation energy without anion corrections is 40.69 kcal/mol of atoms. The calculation puts the mass density at 2157 kg/m³.

It has space group P4/mmm (No. 123), with a = 6.843 Å, b = 6.843 Å, c = 6.231 Å, α = 90.00°, β = 90.00° and γ = 90.00°. The asymmetric unit holds Ba at (0.000, 0.000, 0.000), As at (0.000, 0.500, 0.000), C at (0.500, 0.500, 0.500) and Br at (0.000, 0.000, 0.500).

No. 3
Density functional theory data (PBE-GGA) for a relaxed Hf4ZnRe3 crystal.

The value obtained for the energy relative to the elements is -0.3152 eV per atom. For the spin magnetization, the calculation gives 0.0 μB/cell. For the total DFT energy (no corrections), the calculation gives -10.12 eV per atom. The calculation puts the mass density at 15623 kg/m³.

It has space group Pmmm (No. 47), with a = 3.305 Å, b = 4.642 Å, c = 9.270 Å, α = 90.00°, β = 90.00° and γ = 90.00°. The asymmetric unit holds Hf at (0.000, 0.000, 0.000), Hf at (0.000, 0.000, 0.500), Hf at (0.000, 0.500, 0.243), Zn at (0.500, 0.500, 0.500), Re at (0.500, 0.000, 0.255) and Re at (0.500, 0.500, 0.000).

No. 4
Density functional theory data (PBE-GGA) for a relaxed ZnSi2Rh crystal.

For the spin magnetization, the calculation gives 0.0 μB/cell. For the total DFT energy (no corrections), the calculation gives -5.05 eV per atom. The formation energy without anion corrections is -4.29 kcal/mol of atoms. The calculation puts the mass density at 6628 kg/m³.

It has space group C2/m (No. 12), with a = 8.208 Å, b = 2.990 Å, c = 4.618 Å, α = 90.00°, β = 96.97° and γ = 90.00°. The asymmetric unit holds Zn at (0.000, 0.000, 0.000), Si at (0.239, 0.000, 0.734) and Rh at (0.000, 0.500, 0.500).

No. 5
Density functional theory data (PBE-GGA) for a relaxed La3As5Se12 crystal.

For the spin magnetization, the calculation gives 0.0 μB/cell. For the total DFT energy (no corrections), the calculation gives -4.74 eV per atom. The formation energy without anion corrections is -17.16 kcal/mol of atoms. The calculation puts the mass density at 5064 kg/m³.

It has space group Ia-3d (No. 230), with a = 16.585 Å, b = 16.585 Å, c = 16.585 Å, α = 90.00°, β = 90.00° and γ = 90.00°. The asymmetric unit holds La at (0.000, 0.250, 0.125), As at (0.000, 0.000, 0.000), As at (0.000, 0.250, 0.375) and Se at (0.023, 0.061, 0.649).

No. 6
Density functional theory data (PBE-GGA) for a relaxed Y2TaAu crystal.

The value obtained for the energy relative to the elements is 0.0671 eV per atom. For the spin magnetization, the calculation gives 9.1 μB/cell. For the total DFT energy (no corrections), the calculation gives -6.95 eV per atom. The calculation puts the mass density at 9718 kg/m³.

It has space group Fm-3m (No. 225), with a = 7.242 Å, b = 7.242 Å, c = 7.242 Å, α = 90.00°, β = 90.00° and γ = 90.00°. The asymmetric unit holds Y at (0.250, 0.250, 0.250), Ta at (0.000, 0.000, 0.000) and Au at (0.000, 0.000, 0.500).

Please write out number 4 again, unchanged.
Density functional theory data (PBE-GGA) for a relaxed ZnSi2Rh crystal.

For the spin magnetization, the calculation gives 0.0 μB/cell. For the total DFT energy (no corrections), the calculation gives -5.05 eV per atom. The formation energy without anion corrections is -4.29 kcal/mol of atoms. The calculation puts the mass density at 6628 kg/m³.

It has space group C2/m (No. 12), with a = 8.208 Å, b = 2.990 Å, c = 4.618 Å, α = 90.00°, β = 96.97° and γ = 90.00°. The asymmetric unit holds Zn at (0.000, 0.000, 0.000), Si at (0.239, 0.000, 0.734) and Rh at (0.000, 0.500, 0.500).

Repeat the fourth record exactly.
Density functional theory data (PBE-GGA) for a relaxed ZnSi2Rh crystal.

For the spin magnetization, the calculation gives 0.0 μB/cell. For the total DFT energy (no corrections), the calculation gives -5.05 eV per atom. The formation energy without anion corrections is -4.29 kcal/mol of atoms. The calculation puts the mass density at 6628 kg/m³.

It has space group C2/m (No. 12), with a = 8.208 Å, b = 2.990 Å, c = 4.618 Å, α = 90.00°, β = 96.97° and γ = 90.00°. The asymmetric unit holds Zn at (0.000, 0.000, 0.000), Si at (0.239, 0.000, 0.734) and Rh at (0.000, 0.500, 0.500).